Material: Y2BeCoMo
Method: DFT, GGA-PBE
State: relaxed

The structure belongs to space group P4/mmm (No. 123); the cell edges are 5.349, 5.349 and 4.331 Å and the angles 90.00°, 90.00° and 90.00°. The distinct sites, in fractional coordinates, are Y at (0.000, 0.500, 0.000), Be at (0.000, 0.000, 0.500), Co at (0.500, 0.500, 0.500) and Mo at (0.500, 0.500, 0.000).

As for the energy of formation from the pure elements: 0.9768 eV per atom. The calculation puts the total magnetization at 0.31 μB per formula unit.


Material: Li2Cd4Ag5
Method: DFT, GGA-PBE
State: relaxed

The structure belongs to space group C2/m (No. 12); the cell edges are 19.984, 2.964 and 7.148 Å and the angles 90.00°, 94.97° and 90.00°. The distinct sites, in fractional coordinates, are Li at (0.087, 0.000, 0.198), Cd at (0.044, 0.500, 0.845), Cd at (0.225, 0.000, 0.320), Ag at (0.000, 0.000, 0.500), Ag at (0.130, 0.500, 0.543) and Ag at (0.183, 0.500, 0.974).

As for the energy of formation from the pure elements: -0.0749 eV per atom. The calculation puts the excess energy over the best structure of this formula in the dataset at 0 meV per atom. The calculation puts the total magnetization at 0.00 μB per formula unit.


Material: KBeGa2
Method: DFT, GGA-PBE
State: relaxed

The structure belongs to space group P1 (No. 1); the cell edges are 4.725, 6.082 and 6.794 Å and the angles 81.58°, 73.63° and 78.60°. The distinct sites, in fractional coordinates, are K at (0.000, 0.000, 0.000), K at (0.467, 0.482, 0.045), Be at (0.427, 0.270, 0.552), Be at (0.608, 0.602, 0.498), Ga at (0.086, 0.593, 0.621), Ga at (0.356, 0.940, 0.371), Ga at (0.680, 0.925, 0.647) and Ga at (0.946, 0.272, 0.467).

As for the energy of formation from the pure elements: 0.0610 eV per atom. The calculation puts the total magnetization at 0.00 μB per formula unit.


Material: Mg2TlSb
Method: DFT, GGA-PBE
State: relaxed

The structure belongs to space group Fm-3m (No. 225); the cell edges are 7.389, 7.389 and 7.389 Å and the angles 90.00°, 90.00° and 90.00°. The distinct sites, in fractional coordinates, are Mg at (0.250, 0.250, 0.250), Tl at (0.000, 0.000, 0.000) and Sb at (0.000, 0.000, 0.500).

The calculation puts the excess energy over the best structure of this formula in the dataset at 73 meV per atom. Its energy relative to the elements, uncorrected is -0.09 eV/atom. The calculation puts the total magnetization at 0.00 μB per formula unit.


Material: Be2RuBr
Method: DFT, GGA-PBE
State: relaxed

The structure belongs to space group Cmmm (No. 65); the cell edges are 3.295, 5.015 and 6.937 Å and the angles 90.00°, 90.00° and 90.00°. The distinct sites, in fractional coordinates, are Be at (0.000, 0.000, 0.217), Ru at (0.000, 0.500, 0.000) and Br at (0.000, 0.500, 0.500).

The calculation puts the excess energy over the best structure of this formula in the dataset at 283 meV per atom. Its energy relative to the elements, uncorrected is 0.40 eV/atom. The calculation puts the total magnetization at 0.00 μB per formula unit.


Material: ZrBrCl2
Method: DFT, GGA-PBE
State: relaxed

The structure belongs to space group I-4m2 (No. 119); the cell edges are 4.648, 4.648 and 7.601 Å and the angles 90.00°, 90.00° and 90.00°. The distinct sites, in fractional coordinates, are Zr at (0.000, 0.000, 0.000), Br at (0.000, 0.500, 0.750), Cl at (0.000, 0.000, 0.500) and Cl at (0.000, 0.500, 0.250).

The calculation puts the excess energy over the best structure of this formula in the dataset at 841 meV per atom. Its energy relative to the elements, uncorrected is -0.71 eV/atom. The calculation puts the total magnetization at 1.00 μB per formula unit.


Material: KMg2ZrPt
Method: DFT, GGA-PBE
State: relaxed

The structure belongs to space group P4/mmm (No. 123); the cell edges are 4.927, 4.927 and 4.865 Å and the angles 90.00°, 90.00° and 90.00°. The distinct sites, in fractional coordinates, are K at (0.000, 0.000, 0.000), Mg at (0.000, 0.500, 0.000), Zr at (0.000, 0.000, 0.500) and Pt at (0.500, 0.500, 0.500).

As for the energy of formation from the pure elements: 1.7044 eV per atom. The calculation puts the total magnetization at 0.52 μB per formula unit.


Material: AlZn2Tc
Method: DFT, GGA-PBE
State: relaxed

The structure belongs to space group R-3m (No. 166, hexagonal axes); the cell edges are 2.8176, 2.8176 and 26.1848 Å and the angles 90.00°, 90.00° and 120.00°. The distinct sites, in fractional coordinates, are Al at (0.0000, 0.0000, 0.0000), Zn at (0.0000, 0.0000, 0.2493) and Tc at (0.0000, 0.0000, 0.5000).

As for the energy of formation from the pure elements: 0.0909 eV per atom. The calculation puts the total magnetization at 0.10 μB per formula unit.